{"formula": "CsPt2W", "functional": "PBE-GGA", "state": "optimized geometry", "lattice_angstrom": [[-1.487, -4.106, -2.274], [-4.714, -1.395, 0.271], [-2.888, 0.296, -3.977]], "species": ["Pt", "Pt", "Cs", "W"], "frac_coords": [[0.750, 0.750, 0.750], [0.250, 0.250, 0.250], [0.000, 0.000, 0.000], [0.500, 0.500, 0.500]], "delta_e_f_ev_per_atom": 1.37, "e_tot_ev_per_atom": -5.10, "sg": "Fm-3m"}